This record from Alexandria describes CuPb2W at its PBEsol-relaxed geometry. The functional is SCAN.

The space group is Pmmm (No. 47) and the conventional cell measures 3.138, 4.667 and 5.520 Å, with angles of 90.00, 90.00 and 90.00 degrees. Symmetry generates all atoms from Cu at (0.000, 0.000, 0.000), Pb at (0.000, 0.500, 0.500), Pb at (0.500, 0.500, 0.000) and W at (0.500, 0.000, 0.500).

As for the crystal system: orthorhombic. The value obtained for the formation energy from the elements is 1.09 eV per atom. For the energy above the lowest structure with this stoichiometry, the calculation gives 0.0775 eV/atom.